DFT (PBE) results for an optimized crystal structure of Tb2Nd12Sm5.

Computed properties:
The density of states at the Fermi level is 26.9 states/eV/f.u. For the total energy, the calculation gives -4.62 eV per atom. Its space-group type is C2/m (12). The calculation puts the energy above the lowest structure with this stoichiometry at 0.0 meV/atom. The energy of formation is 2.81 kcal/mol of atoms.

```
data_Tb2Nd12Sm5
_chemical_formula_sum 'Tb2 Nd12 Sm5'
_cell_length_a 9.442
_cell_length_b 9.442
_cell_length_c 8.070
_cell_angle_alpha 92.22
_cell_angle_beta 92.22
_cell_angle_gamma 68.28
_symmetry_space_group_name_H-M 'P 1'
_symmetry_Int_Tables_number 1
_symmetry_space_group_name_Hall 'P 1'
loop_
_atom_site_label
_atom_site_fract_x
_atom_site_fract_y
_atom_site_fract_z
Tb1 0.240 0.760 0.000
Tb2 0.760 0.240 0.000
Nd1 0.052 0.052 0.711
Nd2 0.084 0.539 0.207
Nd3 0.119 0.669 0.612
Nd4 0.331 0.881 0.388
Nd5 0.363 0.363 0.891
Nd6 0.461 0.916 0.793
Nd7 0.539 0.084 0.207
Nd8 0.637 0.637 0.109
Nd9 0.669 0.119 0.612
Nd10 0.881 0.331 0.388
Nd11 0.916 0.461 0.793
Nd12 0.948 0.948 0.289
Sm1 0.154 0.154 0.087
Sm2 0.257 0.257 0.518
Sm3 0.500 0.500 0.500
Sm4 0.743 0.743 0.482
Sm5 0.846 0.846 0.913
```



DFT (PBE) results for an optimized crystal structure of Ho4BeBr5.

Computed properties:
The value obtained for the raw formation energy is -1246 meV per atom. The density of states at the Fermi level is 2.9 states/eV/f.u. For the total energy, the calculation gives -4.29 eV per atom. Its space-group type is C2/m (12).

```
data_Ho4BeBr5
_chemical_formula_sum 'Ho4 Be1 Br5'
_cell_length_a 9.257
_cell_length_b 9.257
_cell_length_c 8.388
_cell_angle_alpha 102.41
_cell_angle_beta 102.41
_cell_angle_gamma 24.10
_symmetry_space_group_name_H-M 'P 1'
_symmetry_Int_Tables_number 1
_symmetry_space_group_name_Hall 'P 1'
loop_
_atom_site_label
_atom_site_fract_x
_atom_site_fract_y
_atom_site_fract_z
Ho1 0.000 0.000 0.220
Ho2 0.000 0.000 0.780
Ho3 0.353 0.353 0.923
Ho4 0.647 0.647 0.077
Be1 0.500 0.500 0.000
Br1 0.166 0.166 0.337
Br2 0.175 0.175 0.835
Br3 0.500 0.500 0.500
Br4 0.825 0.825 0.165
Br5 0.834 0.834 0.663
```



DFT (PBE) results for an optimized crystal structure of MnTe3Cl.

Computed properties:
The value obtained for the raw formation energy is 338 meV per atom. The density of states at the Fermi level is 9.8 states/eV/f.u. For the total energy, the calculation gives -3.75 eV per atom. Its space-group type is Pm-3m (221). The calculation puts the energy above the lowest structure with this stoichiometry at 0.0 meV/atom.

```
data_MnTe3Cl
_chemical_formula_sum 'Mn1 Te3 Cl1'
_cell_length_a 5.048
_cell_length_b 5.048
_cell_length_c 5.048
_cell_angle_alpha 90.00
_cell_angle_beta 90.00
_cell_angle_gamma 90.00
_symmetry_space_group_name_H-M 'P 1'
_symmetry_Int_Tables_number 1
_symmetry_space_group_name_Hall 'P 1'
loop_
_atom_site_label
_atom_site_fract_x
_atom_site_fract_y
_atom_site_fract_z
Mn1 0.000 0.000 0.000
Te1 0.000 0.000 0.500
Te2 0.000 0.500 0.000
Te3 0.500 0.000 0.000
Cl1 0.500 0.500 0.500
```



DFT (PBE) results for an optimized crystal structure of ReAgBr2.

Computed properties:
The value obtained for the raw formation energy is 1036 meV per atom. The density of states at the Fermi level is 2.6 states/eV/f.u. For the total energy, the calculation gives -3.63 eV per atom. Its space-group type is Pmmm (47). The calculation puts the energy above the lowest structure with this stoichiometry at 597.8 meV/atom.

```
data_ReAgBr2
_chemical_formula_sum 'Re1 Ag1 Br2'
_cell_length_a 3.250
_cell_length_b 4.421
_cell_length_c 6.409
_cell_angle_alpha 90.00
_cell_angle_beta 90.00
_cell_angle_gamma 90.00
_symmetry_space_group_name_H-M 'P 1'
_symmetry_Int_Tables_number 1
_symmetry_space_group_name_Hall 'P 1'
loop_
_atom_site_label
_atom_site_fract_x
_atom_site_fract_y
_atom_site_fract_z
Re1 0.000 0.000 0.000
Ag1 0.500 0.000 0.500
Br1 0.000 0.500 0.500
Br2 0.500 0.500 0.000
```



DFT (PBE) results for an optimized crystal structure of Zr3GeC.

Computed properties:
The density of states at the Fermi level is 3.7 states/eV/f.u. For the total energy, the calculation gives -8.32 eV per atom. Its space-group type is C2/m (12). The energy of formation is -9.78 kcal/mol of atoms.

```
data_Zr3GeC
_chemical_formula_sum 'Zr6 Ge2 C2'
_cell_length_a 7.604
_cell_length_b 7.604
_cell_length_c 7.476
_cell_angle_alpha 100.64
_cell_angle_beta 100.64
_cell_angle_gamma 27.95
_symmetry_space_group_name_H-M 'P 1'
_symmetry_Int_Tables_number 1
_symmetry_space_group_name_Hall 'P 1'
loop_
_atom_site_label
_atom_site_fract_x
_atom_site_fract_y
_atom_site_fract_z
Zr1 0.049 0.049 0.332
Zr2 0.157 0.157 0.950
Zr3 0.316 0.316 0.378
Zr4 0.684 0.684 0.622
Zr5 0.843 0.843 0.050
Zr6 0.951 0.951 0.668
Ge1 0.327 0.327 0.767
Ge2 0.673 0.673 0.233
C1 0.096 0.096 0.638
C2 0.904 0.904 0.362
```



DFT (PBE) results for an optimized crystal structure of KTlInAu3.

Computed properties:
The density of states at the Fermi level is 1.5 states/eV/f.u. For the total energy, the calculation gives -2.83 eV per atom. Its space-group type is C2/c (15). The energy of formation is -3.53 kcal/mol of atoms.

```
data_KTlInAu3
_chemical_formula_sum 'K2 Tl2 In2 Au6'
_cell_length_a 8.468
_cell_length_b 8.468
_cell_length_c 6.554
_cell_angle_alpha 97.04
_cell_angle_beta 97.04
_cell_angle_gamma 133.88
_symmetry_space_group_name_H-M 'P 1'
_symmetry_Int_Tables_number 1
_symmetry_space_group_name_Hall 'P 1'
loop_
_atom_site_label
_atom_site_fract_x
_atom_site_fract_y
_atom_site_fract_z
K1 0.231 0.769 0.750
K2 0.769 0.231 0.250
Tl1 0.380 0.620 0.250
Tl2 0.620 0.380 0.750
In1 0.013 0.987 0.250
In2 0.987 0.013 0.750
Au1 0.191 0.809 0.250
Au2 0.248 0.382 0.576
Au3 0.382 0.248 0.076
Au4 0.618 0.752 0.924
Au5 0.752 0.618 0.424
Au6 0.809 0.191 0.750
```



DFT (PBE) results for an optimized crystal structure of NaInBi2Pb5.

Computed properties:
The density of states at the Fermi level is 4.4 states/eV/f.u. For the total energy, the calculation gives -3.37 eV per atom. Its space-group type is Cmc2_1 (36). The energy of formation is 0.08 kcal/mol of atoms.

```
data_NaInBi2Pb5
_chemical_formula_sum 'Na2 In2 Bi4 Pb10'
_cell_length_a 9.778
_cell_length_b 9.778
_cell_length_c 13.839
_cell_angle_alpha 90.00
_cell_angle_beta 90.00
_cell_angle_gamma 154.26
_symmetry_space_group_name_H-M 'P 1'
_symmetry_Int_Tables_number 1
_symmetry_space_group_name_Hall 'P 1'
loop_
_atom_site_label
_atom_site_fract_x
_atom_site_fract_y
_atom_site_fract_z
Na1 0.082 0.918 0.500
Na2 0.918 0.082 0.000
In1 0.296 0.704 0.049
In2 0.704 0.296 0.549
Bi1 0.292 0.708 0.671
Bi2 0.475 0.525 0.373
Bi3 0.525 0.475 0.873
Bi4 0.708 0.292 0.171
Pb1 0.092 0.908 0.272
Pb2 0.122 0.878 0.742
Pb3 0.126 0.874 0.001
Pb4 0.259 0.741 0.358
Pb5 0.489 0.511 0.632
Pb6 0.511 0.489 0.132
Pb7 0.741 0.259 0.858
Pb8 0.874 0.126 0.501
Pb9 0.878 0.122 0.242
Pb10 0.908 0.092 0.772
```



DFT (PBE) results for an optimized crystal structure of Tb3Dy3Y8.

Computed properties:
The density of states at the Fermi level is 22.2 states/eV/f.u. For the total energy, the calculation gives -5.55 eV per atom. Its space-group type is Immm (71). The calculation puts the energy above the lowest structure with this stoichiometry at 2.2 meV/atom. The energy of formation is 2.86 kcal/mol of atoms.

```
data_Tb3Dy3Y8
_chemical_formula_sum 'Tb3 Dy3 Y8'
_cell_length_a 9.647
_cell_length_b 9.647
_cell_length_c 9.647
_cell_angle_alpha 146.00
_cell_angle_beta 112.06
_cell_angle_gamma 78.20
_symmetry_space_group_name_H-M 'P 1'
_symmetry_Int_Tables_number 1
_symmetry_space_group_name_Hall 'P 1'
loop_
_atom_site_label
_atom_site_fract_x
_atom_site_fract_y
_atom_site_fract_z
Tb1 0.000 0.000 0.000
Tb2 0.299 0.000 0.299
Tb3 0.701 0.000 0.701
Dy1 0.319 0.819 0.500
Dy2 0.500 0.500 0.000
Dy3 0.681 0.181 0.500
Y1 0.055 0.396 0.659
Y2 0.064 0.222 0.842
Y3 0.262 0.604 0.659
Y4 0.380 0.222 0.158
Y5 0.620 0.778 0.842
Y6 0.738 0.396 0.341
Y7 0.936 0.778 0.158
Y8 0.945 0.604 0.341
```



DFT (PBE) results for an optimized crystal structure of HfNbAs2.

Computed properties:
The density of states at the Fermi level is 3.2 states/eV/f.u. For the total energy, the calculation gives -8.03 eV per atom. Its space-group type is R3m (160). The calculation puts the energy above the lowest structure with this stoichiometry at 0.0 meV/atom. The energy of formation is -16.23 kcal/mol of atoms.

```
data_HfNbAs2
_chemical_formula_sum 'Hf1 Nb1 As2'
_cell_length_a 6.986
_cell_length_b 6.986
_cell_length_c 6.986
_cell_angle_alpha 30.14
_cell_angle_beta 30.14
_cell_angle_gamma 30.14
_symmetry_space_group_name_H-M 'P 1'
_symmetry_Int_Tables_number 1
_symmetry_space_group_name_Hall 'P 1'
loop_
_atom_site_label
_atom_site_fract_x
_atom_site_fract_y
_atom_site_fract_z
Hf1 0.000 0.000 0.000
Nb1 0.830 0.830 0.830
As1 0.418 0.418 0.418
As2 0.580 0.580 0.580
```



DFT (PBE) results for an optimized crystal structure of Rb2BaAg2I7.

Computed properties:
The value obtained for the raw formation energy is -961 meV per atom. The density of states at the Fermi level is 5.0 states/eV/f.u. For the total energy, the calculation gives -2.66 eV per atom. Its space-group type is C2/m (12).

```
data_Rb2BaAg2I7
_chemical_formula_sum 'Rb2 Ba1 Ag2 I7'
_cell_length_a 5.817
_cell_length_b 5.817
_cell_length_c 15.557
_cell_angle_alpha 100.74
_cell_angle_beta 100.74
_cell_angle_gamma 90.01
_symmetry_space_group_name_H-M 'P 1'
_symmetry_Int_Tables_number 1
_symmetry_space_group_name_Hall 'P 1'
loop_
_atom_site_label
_atom_site_fract_x
_atom_site_fract_y
_atom_site_fract_z
Rb1 0.179 0.179 0.359
Rb2 0.821 0.821 0.641
Ba1 0.000 0.000 0.000
Ag1 0.399 0.399 0.798
Ag2 0.601 0.601 0.202
I1 0.085 0.585 0.170
I2 0.303 0.303 0.605
I3 0.415 0.915 0.830
I4 0.500 0.500 0.000
I5 0.585 0.085 0.170
I6 0.697 0.697 0.395
I7 0.915 0.415 0.830
```



DFT (PBE) results for an optimized crystal structure of Sc2CdMoAu.

Computed properties:
The density of states at the Fermi level is 4.9 states/eV/f.u. For the total energy, the calculation gives -5.02 eV per atom. Its space-group type is P4/mmm (123). The energy of formation is 11.87 kcal/mol of atoms.

```
data_Sc2CdMoAu
_chemical_formula_sum 'Sc2 Cd1 Mo1 Au1'
_cell_length_a 4.945
_cell_length_b 4.945
_cell_length_c 5.131
_cell_angle_alpha 90.00
_cell_angle_beta 90.00
_cell_angle_gamma 90.00
_symmetry_space_group_name_H-M 'P 1'
_symmetry_Int_Tables_number 1
_symmetry_space_group_name_Hall 'P 1'
loop_
_atom_site_label
_atom_site_fract_x
_atom_site_fract_y
_atom_site_fract_z
Sc1 0.000 0.500 0.000
Sc2 0.500 0.000 0.000
Cd1 0.000 0.000 0.500
Mo1 0.500 0.500 0.000
Au1 0.500 0.500 0.500
```



DFT (PBE) results for an optimized crystal structure of Tl2Fe2Cl5.

Computed properties:
The value obtained for the raw formation energy is -639 meV per atom. The density of states at the Fermi level is 8.7 states/eV/f.u. For the total energy, the calculation gives -4.07 eV per atom. Its space-group type is C2/m (12).

```
data_Tl2Fe2Cl5
_chemical_formula_sum 'Tl2 Fe2 Cl5'
_cell_length_a 7.015
_cell_length_b 7.015
_cell_length_c 7.478
_cell_angle_alpha 103.88
_cell_angle_beta 103.88
_cell_angle_gamma 43.12
_symmetry_space_group_name_H-M 'P 1'
_symmetry_Int_Tables_number 1
_symmetry_space_group_name_Hall 'P 1'
loop_
_atom_site_label
_atom_site_fract_x
_atom_site_fract_y
_atom_site_fract_z
Tl1 0.101 0.101 0.320
Tl2 0.899 0.899 0.680
Fe1 0.345 0.345 0.108
Fe2 0.655 0.655 0.892
Cl1 0.171 0.171 0.913
Cl2 0.351 0.351 0.423
Cl3 0.500 0.500 0.000
Cl4 0.649 0.649 0.577
Cl5 0.829 0.829 0.087
```